# 1
! FeSiSe | Alexandria | PBE | relaxed; values from VASP
! **E**: -5.7251 eV/atom
! **Uncorrected formation energy**: 0.065 eV per atom
! **Crystal system**: cubic
&SYSTEM
  ibrav = 0, nat = 3, ntyp = 3
/
ATOMIC_SPECIES
Si 28.09 Si.upf
Fe 55.84 Fe.upf
Se 78.96 Se.upf
ATOMIC_POSITIONS angstrom
Si 3.987 2.302 1.628
Fe 5.981 3.453 2.442
Se 0.000 0.000 0.000
CELL_PARAMETERS angstrom
3.987 0.000 0.000
1.994 3.453 0.000
1.994 1.151 3.256

***

# 2
! FeSiSe | Alexandria | PBE | relaxed; values from VASP
! **E**: -5.4760 eV/atom
! **Uncorrected formation energy**: 0.314 eV per atom
! **Crystal system**: tetragonal
&SYSTEM
  ibrav = 0, nat = 3, ntyp = 3
/
ATOMIC_SPECIES
Fe 55.84 Fe.upf
Si 28.09 Si.upf
Se 78.96 Se.upf
ATOMIC_POSITIONS angstrom
Fe 0.195 0.105 0.001
Si 1.092 0.594 2.308
Se 2.447 1.330 0.000
CELL_PARAMETERS angstrom
4.837 0.001 -0.001
2.630 4.058 0.002
-3.733 -2.030 2.309

***

# 3
! Fe3SiSe | Alexandria | PBE | relaxed; values from VASP
! **E**: -6.0388 eV/atom
! **Uncorrected formation energy**: 0.820 eV per atom
! **Crystal system**: cubic
! **Energy relative to the lowest polymorph listed for this composition**: 0.71 eV per formula unit
&SYSTEM
  ibrav = 0, nat = 5, ntyp = 3
/
ATOMIC_SPECIES
Fe 55.84 Fe.upf
Se 78.96 Se.upf
Si 28.09 Si.upf
ATOMIC_POSITIONS angstrom
Fe -0.933 -1.661 1.064
Fe -1.769 1.226 0.361
Se 0.000 0.000 0.000
Si -3.575 -1.143 -0.445
Fe -0.873 -0.708 -1.871
CELL_PARAMETERS angstrom
-3.538 2.451 0.723
-1.745 -1.416 -3.741
-1.867 -3.322 2.128

***

# 4
! FeSiSe | Alexandria | PBE | relaxed; values from VASP
! **E**: -5.6186 eV/atom
! **Uncorrected formation energy**: 0.172 eV per atom
! **Crystal system**: tetragonal
&SYSTEM
  ibrav = 0, nat = 3, ntyp = 3
/
ATOMIC_SPECIES
Fe 55.84 Fe.upf
Si 28.09 Si.upf
Se 78.96 Se.upf
ATOMIC_POSITIONS angstrom
Fe 10.519 3.826 0.000
Si 6.603 2.402 0.000
Se 3.936 1.432 0.000
CELL_PARAMETERS angstrom
5.964 -0.008 0.000
4.565 3.838 0.000
-5.264 -1.915 2.046

***

# 5
! FeSiSe4 | Alexandria | PBE | relaxed; values from VASP
! **E**: -3.6359 eV/atom
! **Uncorrected formation energy**: 1.001 eV per atom
! **Crystal system**: cubic
&SYSTEM
  ibrav = 0, nat = 6, ntyp = 3
/
ATOMIC_SPECIES
Se 78.96 Se.upf
Si 28.09 Si.upf
Fe 55.84 Fe.upf
ATOMIC_POSITIONS angstrom
Se 2.977 4.972 4.972
Se 4.972 2.977 4.972
Si 5.961 5.961 5.961
Se 4.972 4.972 2.977
Fe 0.000 0.000 0.000
Se 2.977 2.977 2.977
CELL_PARAMETERS angstrom
0.000 3.974 3.974
3.974 0.000 3.974
3.974 3.974 0.000

***

# 6
! Fe3SiSe | Alexandria | PBE | relaxed; values from VASP
! **E**: -6.1810 eV/atom
! **Uncorrected formation energy**: 0.678 eV per atom
! **Crystal system**: cubic
! **Energy relative to the lowest polymorph listed for this composition**: 0.00 eV per formula unit
&SYSTEM
  ibrav = 0, nat = 5, ntyp = 3
/
ATOMIC_SPECIES
Fe 55.84 Fe.upf
Si 28.09 Si.upf
Se 78.96 Se.upf
ATOMIC_POSITIONS angstrom
Fe -0.611 1.943 0.683
Fe 2.054 0.520 0.357
Si 0.000 0.000 0.000
Fe -0.158 -0.755 2.005
Se 1.286 1.708 3.046
CELL_PARAMETERS angstrom
-0.316 -1.510 4.011
4.108 1.040 0.714
-1.221 3.887 1.367

***

# 7
! Fe2SnSe | Alexandria | PBE | relaxed; values from VASP
! **E**: -5.7014 eV/atom
! **Uncorrected formation energy**: 0.402 eV per atom
! **Crystal system**: tetragonal
! **Energy relative to the lowest polymorph listed for this composition**: 0.00 eV per formula unit
&SYSTEM
  ibrav = 0, nat = 8, ntyp = 3
/
ATOMIC_SPECIES
Fe 55.84 Fe.upf
Se 78.96 Se.upf
Sn 118.71 Sn.upf
ATOMIC_POSITIONS angstrom
Fe -1.630 -5.553 5.627
Se -0.840 -4.320 2.431
Se 0.776 -5.776 5.602
Fe -2.819 -9.484 7.711
Fe -3.172 -3.716 2.242
Sn -4.022 -5.689 4.101
Fe 1.129 -4.177 3.825
Sn 0.000 0.000 0.000
CELL_PARAMETERS angstrom
-5.638 -4.233 0.930
3.958 -4.408 3.933
-1.566 -2.824 4.839

***

# 8
! Fe3SnSe | Alexandria | PBE | relaxed; values from VASP
! **E**: -5.1682 eV/atom
! **Uncorrected formation energy**: 1.407 eV per atom
! **Crystal system**: cubic
! **Energy relative to the lowest polymorph listed for this composition**: 4.35 eV per formula unit
&SYSTEM
  ibrav = 0, nat = 5, ntyp = 3
/
ATOMIC_SPECIES
Sn 118.71 Sn.upf
Fe 55.84 Fe.upf
Se 78.96 Se.upf
ATOMIC_POSITIONS angstrom
Sn 0.000 0.000 0.000
Fe 0.000 2.433 0.000
Fe 2.433 0.000 0.000
Se 2.433 2.433 2.433
Fe 0.000 0.000 2.433
CELL_PARAMETERS angstrom
4.866 0.000 0.000
0.000 4.866 0.000
0.000 0.000 4.866

***

# 9
! Fe5Sn3Se12 | Alexandria | PBE | relaxed; values from VASP
! **E**: -5.0053 eV/atom
! **Uncorrected formation energy**: -0.198 eV per atom
! **Crystal system**: cubic
&SYSTEM
  ibrav = 0, nat = 80, ntyp = 3
/
ATOMIC_SPECIES
Se 78.96 Se.upf
Fe 55.84 Fe.upf
Sn 118.71 Sn.upf
ATOMIC_POSITIONS angstrom
Se -2.404 -4.987 10.731
Se 1.515 -1.662 9.918
Se -0.723 8.068 0.916
Se 5.991 6.255 1.963
Se 1.105 1.158 6.398
Se -3.343 10.864 1.281
Fe 5.595 3.165 8.223
Sn 1.119 6.330 2.741
Fe 5.595 5.539 4.112
Se 9.119 -2.696 6.763
Fe -1.119 0.791 6.853
Fe -2.238 6.330 0.000
Sn 7.833 8.704 1.371
Se 2.961 4.593 0.916
Se -1.133 7.488 4.566
Se 2.072 8.621 4.435
Fe 6.714 0.000 0.000
Se 2.961 7.992 1.047
Se -5.199 -0.076 9.002
Sn 3.357 7.122 6.853
Se 8.786 1.344 0.234
Se 7.291 -0.998 2.197
Fe 4.476 -3.165 5.482
Fe -1.119 3.165 2.741
Se 5.610 -1.158 6.398
Se 5.199 -1.738 10.049
Fe 3.357 9.496 2.741
Sn 10.072 0.000 2.741
Se 1.662 4.568 7.445
Se 7.819 -4.533 9.684
Se 0.576 8.092 7.445
Sn 3.357 0.000 8.223
Se 10.086 2.955 3.286
Se 5.581 9.706 3.286
Fe 0.000 0.000 0.000
Fe -3.357 7.122 4.112
Fe 7.833 -0.791 6.853
Sn -1.119 5.539 6.853
Se -3.900 5.567 5.716
Se 2.814 1.762 3.520
Se 3.371 5.173 4.566
Se 6.138 7.094 5.716
Se 2.404 -2.291 6.529
Se -5.610 3.376 7.679
Fe 1.119 3.957 9.594
Se -0.576 0.998 2.197
Fe 2.238 3.165 5.482
Se 3.900 -1.762 3.520
Se -1.662 -0.764 5.249
Se 5.581 1.797 1.281
Se -1.105 4.533 9.684
Se -2.814 7.329 8.768
Se 5.199 1.662 9.918
Se 5.053 5.332 8.768
Se 1.515 1.738 10.049
Sn -3.357 -2.374 9.594
Se -1.515 0.076 9.002
Se 8.376 0.764 5.249
Se -1.105 -3.376 7.679
Se -4.642 9.026 4.202
Fe -4.476 3.165 5.482
Sn 1.119 -0.791 4.112
Se 9.676 6.406 1.963
Fe -1.119 10.287 1.371
Fe 3.357 2.374 1.371
Se 6.881 11.317 0.234
Sn 7.833 3.957 1.371
Se 4.310 2.291 6.529
Se 0.166 4.040 4.435
Fe -2.238 -3.165 5.482
Se -4.310 4.987 10.731
Sn -5.595 6.330 8.223
Fe 5.595 -3.957 9.594
Fe 4.476 6.330 0.000
Se 6.881 3.635 4.202
Se -2.404 2.696 6.763
Se -0.723 4.668 1.047
Sn -3.357 2.374 9.594
Fe 1.119 -3.165 8.223
Sn 5.595 0.791 4.112
CELL_PARAMETERS angstrom
13.429 0.000 0.000
-4.476 12.661 0.000
-4.476 -6.330 10.965

***

# 10
! Fe3SnSe | Alexandria | PBE | relaxed; values from VASP
! **E**: -6.0385 eV/atom
! **Uncorrected formation energy**: 0.537 eV per atom
! **Crystal system**: cubic
! **Energy relative to the lowest polymorph listed for this composition**: 0.00 eV per formula unit
&SYSTEM
  ibrav = 0, nat = 5, ntyp = 3
/
ATOMIC_SPECIES
Fe 55.84 Fe.upf
Se 78.96 Se.upf
Sn 118.71 Sn.upf
ATOMIC_POSITIONS angstrom
Fe 0.000 0.000 2.215
Fe 0.000 2.215 0.000
Se 0.000 0.000 0.000
Fe 2.215 0.000 0.000
Sn 2.215 2.215 2.215
CELL_PARAMETERS angstrom
4.431 0.000 0.000
0.000 4.431 0.000
0.000 0.000 4.431

***

# 11
! FeSn2Se | Alexandria | PBE | relaxed; values from VASP
! **E**: -4.6616 eV/atom
! **Uncorrected formation energy**: 0.327 eV per atom
! **Crystal system**: tetragonal
&SYSTEM
  ibrav = 0, nat = 8, ntyp = 3
/
ATOMIC_SPECIES
Fe 55.84 Fe.upf
Se 78.96 Se.upf
Sn 118.71 Sn.upf
ATOMIC_POSITIONS angstrom
Fe 3.120 6.240 3.017
Se 6.240 3.120 3.017
Fe 3.120 3.120 0.000
Sn 7.800 7.552 4.525
Se 0.000 0.000 0.000
Sn 4.680 4.929 4.525
Sn 4.432 1.560 1.508
Sn 1.808 4.680 1.508
CELL_PARAMETERS angstrom
6.240 0.000 0.000
0.000 6.240 0.000
3.120 3.120 6.034

***

# 12
! Fe2SnSe | Alexandria | PBE | relaxed; values from VASP
! **E**: -5.5909 eV/atom
! **Uncorrected formation energy**: 0.512 eV per atom
! **Crystal system**: cubic
! **Energy relative to the lowest polymorph listed for this composition**: 0.44 eV per formula unit
&SYSTEM
  ibrav = 0, nat = 4, ntyp = 3
/
ATOMIC_SPECIES
Sn 118.71 Sn.upf
Fe 55.84 Fe.upf
Se 78.96 Se.upf
ATOMIC_POSITIONS angstrom
Sn 3.129 3.129 3.129
Fe 4.693 4.693 4.693
Se 0.000 0.000 0.000
Fe 1.564 1.564 1.564
CELL_PARAMETERS angstrom
0.000 3.129 3.129
3.129 0.000 3.129
3.129 3.129 0.000

***

| no. | total magnetic moment (Bohr magnetons per cell) |
| --- | --- |
| 1 | 0.0 |
| 2 | 2.4 |
| 3 | 6.2 |
| 4 | 1.2 |
| 5 | 3.5 |
| 6 | 6.0 |
| 7 | 12.0 |
| 8 | 8.8 |
| 9 | 14.3 |
| 10 | 6.2 |
| 11 | 4.1 |
| 12 | 0.0 |